{
  "formula": "Ni2WO2",
  "functional": "PBE with a Hubbard U",
  "state": "optimized geometry",
  "polymorph_energy_ev_per_atom": 0.000,
  "vol_a3_per_atom": 11.654,
  "magnetic_moment_mub_per_cell": 1.16,
  "sg": "No. 139",
  "total_energy_ev_per_atom": -4.066,
  "lattice": [[-1.9247, 1.9247, 3.9326], [1.9247, -1.9247, 3.9326], [1.9247, 1.9247, -3.9326]],
  "species": ["Ni", "Ni", "W", "O", "O"],
  "fractional_positions": [[0.1625, 0.1625, 0.0000], [0.8375, 0.8375, 0.0000], [0.5000, 0.5000, 0.0000], [0.2500, 0.7500, 0.5000], [0.7500, 0.2500, 0.5000]]
}